Below is a relaxed structure of TaCuAu2, with properties calculated at the PBE level.

## Properties
Raw total energy ... -5.51 eV per atom
E_form ... 114 meV/atom
Space group ... C2/m (12)

extended XYZ file:
```
4
Lattice="4.6638 -1.4182 0.0000 4.6638 1.4182 0.0000 -0.8328 0.0000 5.0354" Properties=species:S:1:pos:R:3 pbc="T T T"
Ta 0.0000 0.0000 0.0000
Cu 4.2474 0.0000 2.5177
Au 1.6919 0.0000 3.7599
Au 6.8029 0.0000 1.2755
```